## Er6Sb5S (PBE)

Data for a relaxed structure of Er6Sb5S.

Calculated values
symmetry: No. 12
total moment: 0.000 μB per formula unit
crystal system: monoclinic
formation energy (no corrections): -1217 meV/atom

Unit cell a=7.4106 b=7.4106 c=7.4116 alpha=99.66 beta=99.66 gamma=119.84
Last column: nearest neighbours and their distance in Å.
Element x y z (fractional)
Er1 0.0800 0.4012 0.7415  1 S 2.92, 5 Sb 3.03-3.09
Er2 0.2387 0.2387 0.2505  1 S 2.96, 5 Sb 3.04-3.10
Er3 0.4012 0.0800 0.7415  1 S 2.92, 5 Sb 3.03-3.09
Er4 0.5988 0.9200 0.2585  1 S 2.92, 5 Sb 3.03-3.09
Er5 0.7613 0.7613 0.7495  1 S 2.96, 5 Sb 3.04-3.10
Er6 0.9200 0.5988 0.2585  1 S 2.92, 5 Sb 3.03-3.09
Sb1 0.1717 0.8283 0.0000  6 Er 3.03-3.09
Sb2 0.3344 0.6656 0.5000  6 Er 3.04-3.05
Sb3 0.5000 0.5000 0.0000  6 Er 3.03-3.10
Sb4 0.6656 0.3344 0.5000  6 Er 3.04-3.05
Sb5 0.8283 0.1717 0.0000  6 Er 3.03-3.09
S1 0.0000 0.0000 0.5000  6 Er 2.92-2.96